No. 1
# MgAu5, optimized geometry, DFT PBE-GGA
# ΔE_f   -0.2185 eV per atom
# SG   No. 38
data_MgAu5
_chemical_formula_sum 'Mg1 Au5'
_symmetry_space_group_name_H-M 'P 1'
_symmetry_Int_Tables_number 1
_cell_length_a 3.0741
_cell_length_b 7.5584
_cell_length_c 4.7446
_cell_angle_alpha 90.00
_cell_angle_beta 90.00
_cell_angle_gamma 78.27
loop_
_symmetry_equiv_pos_as_xyz
'x,y,z'
loop_
_atom_site_label
_atom_site_fract_x
_atom_site_fract_y
_atom_site_fract_z
Au1 0.0022 0.9955 0.0000
Au2 0.6702 0.6597 0.0000
Au3 0.3371 0.3258 0.0000
Au4 0.5480 0.9040 0.5000
Au5 0.2239 0.5523 0.5000
Mg1 0.8853 0.2294 0.5000

=====

No. 2
# ZnInTe2, optimized geometry, DFT PBE-GGA
# SG   No. 12
# E_form (uncorrected)   0.12 eV/atom
data_ZnInTe2
_chemical_formula_sum 'Zn1 In1 Te2'
_symmetry_space_group_name_H-M 'P 1'
_symmetry_Int_Tables_number 1
_cell_length_a 6.1766
_cell_length_b 6.7263
_cell_length_c 3.1273
_cell_angle_alpha 82.86
_cell_angle_beta 76.38
_cell_angle_gamma 113.85
loop_
_symmetry_equiv_pos_as_xyz
'x,y,z'
loop_
_atom_site_label
_atom_site_fract_x
_atom_site_fract_y
_atom_site_fract_z
In1 0.5000 0.5000 0.0000
Te1 0.0000 0.0000 0.0000
Te2 0.5000 0.0000 0.5000
Zn1 0.0000 0.5000 0.5000

=====

No. 3
# BaPN3, optimized geometry, DFT PBE-GGA
# SG   No. 221
# E_form (uncorrected)   0.55 eV/atom
data_BaPN3
_chemical_formula_sum 'Ba1 P1 N3'
_symmetry_space_group_name_H-M 'P 1'
_symmetry_Int_Tables_number 1
_cell_length_a 3.8318
_cell_length_b 3.8318
_cell_length_c 3.8318
_cell_angle_alpha 90.00
_cell_angle_beta 90.00
_cell_angle_gamma 90.00
loop_
_symmetry_equiv_pos_as_xyz
'x,y,z'
loop_
_atom_site_label
_atom_site_fract_x
_atom_site_fract_y
_atom_site_fract_z
P1 0.0000 0.0000 0.0000
Ba1 0.5000 0.5000 0.5000
N1 0.0000 0.5000 0.0000
N2 0.0000 0.0000 0.5000
N3 0.5000 0.0000 0.0000

=====

No. 4
# PrHoBe, optimized geometry, DFT PBE-GGA
# ΔE_f   0.1285 eV per atom
# SG   No. 107
data_PrHoBe
_chemical_formula_sum 'Pr1 Ho1 Be1'
_symmetry_space_group_name_H-M 'P 1'
_symmetry_Int_Tables_number 1
_cell_length_a 3.5420
_cell_length_b 3.5420
_cell_length_c 6.5776
_cell_angle_alpha 105.62
_cell_angle_beta 105.62
_cell_angle_gamma 90.00
loop_
_symmetry_equiv_pos_as_xyz
'x,y,z'
loop_
_atom_site_label
_atom_site_fract_x
_atom_site_fract_y
_atom_site_fract_z
Pr1 0.0266 0.0266 0.0532
Be1 0.6760 0.6760 0.3521
Ho1 0.2974 0.2974 0.5947

=====

| no. | energy (eV per atom) |
| --- | --- |
| 1 | -3.22 |
| 2 | -2.45 |
| 3 | -5.91 |
| 4 | -4.23 |